Compound: LiCaZr2
Source: Alexandria via LeMat-Bulk
Functional: PBE-GGA
Structure: relaxed

```
4
Lattice="0.000 3.627 3.627 3.627 0.000 3.627 3.627 3.627 0.000" Properties=species:S:1:pos:R:3 pbc="T T T"
Li 0.000 0.000 0.000
Ca 3.627 3.627 3.627
Zr 1.814 1.814 1.814
Zr 5.441 5.441 5.441
```

Results
Space group: Fm-3m (225)
Calculated formation energy, meV per atom: 592
Energy above the lowest structure with this stoichiometry, meV per atom: 421